VASP calculation (PBE) on a geometry-optimized PrNdY5 structure.

Geometry as POSCAR:
```
PrNdY5
1.0
-1.6926 -5.5063 -0.6878
6.1162 -4.9829 0.3726
0.3827 -4.0216 6.7865
Pr Nd Y
1 1 5
Direct
0.0000 0.0000 0.0000
0.5000 0.5000 0.5000
0.5000 0.1795 0.8205
0.5000 0.8205 0.1795
0.7483 0.2517 0.2517
0.2517 0.7483 0.7483
0.0000 0.5000 0.5000
```

Summary:
total magnetic moment	0.21	μB per cell
DOS at the Fermi energy	1.53	states/eV per atom
ΔE_f	1.07	eV per atom
energy above the most stable polymorph in this dataset	976	meV per atom
symmetry	No. 71

---

VASP calculation (PBE) on a geometry-optimized Pr5NdY6 structure.

Geometry as POSCAR:
```
Pr5NdY6
1.0
-6.4550 -6.2008 -7.8795
-2.6213 -4.2918 3.8370
-5.5607 1.2050 2.7632
Pr Nd Y
5 1 6
Direct
0.5000 0.1667 0.6666
0.0000 0.3333 0.3333
0.5000 0.5000 0.0000
0.0000 0.6667 0.6667
0.5000 0.8333 0.3334
0.0000 0.0000 0.0000
0.7502 0.0829 0.3332
0.2498 0.5839 0.3332
0.2498 0.2503 0.0000
0.7502 0.7497 0.0000
0.7502 0.4161 0.6668
0.2498 0.9171 0.6668
```

Summary:
total magnetic moment	0.00	μB per cell
DOS at the Fermi energy	1.15	states/eV per atom
ΔE_f	0.01	eV per atom
symmetry	No. 12

---

VASP calculation (PBE) on a geometry-optimized Pr5Nd8Y structure.

Geometry as POSCAR:
```
Pr5Nd8Y
1.0
-0.9278 -7.1506 -4.8675
8.2963 1.0327 2.4060
-5.1258 -0.9823 6.9603
Pr Nd Y
5 8 1
Direct
0.0300 0.3164 0.1329
0.8671 0.8971 0.1834
0.8166 0.6836 0.7137
0.5000 0.0000 0.5000
0.2863 0.1029 0.9700
0.1710 0.7339 0.0719
0.9281 0.0991 0.6620
0.7317 0.2574 0.3346
0.6654 0.3972 0.9229
0.5257 0.6028 0.2683
0.5629 0.9009 0.8290
0.3380 0.2661 0.4371
0.0771 0.7426 0.4743
0.2500 0.5000 0.7500
```

Summary:
total magnetic moment	0.00	μB per cell
DOS at the Fermi energy	1.50	states/eV per atom
ΔE_f	0.23	eV per atom
symmetry	No. 82

---

VASP calculation (PBE) on a geometry-optimized Pr8Nd3Y structure.

Geometry as POSCAR:
```
Pr8Nd3Y
1.0
-1.7442 2.5776 -8.0488
5.0631 -6.9187 0.9826
-6.4789 -3.3132 4.6385
Pr Nd Y
8 3 1
Direct
0.4979 0.2449 0.2449
0.5021 0.7470 0.7470
0.0000 0.7551 0.2530
0.0000 0.2530 0.7551
0.2486 0.3740 0.3740
0.7514 0.1254 0.1254
0.0000 0.6260 0.8746
0.0000 0.8746 0.6260
0.5000 0.7500 0.2500
0.5000 0.2500 0.7500
0.0000 0.5000 0.5000
0.0000 0.0000 0.0000
```

Summary:
total magnetic moment	0.00	μB per cell
DOS at the Fermi energy	1.59	states/eV per atom
ΔE_f	0.54	eV per atom
symmetry	No. 121

---

VASP calculation (PBE) on a geometry-optimized PrNdY6 structure.

Geometry as POSCAR:
```
PrNdY6
1.0
-2.0297 0.0088 -8.4768
-0.8639 -8.0488 -5.3783
-4.6387 -3.1143 -3.3763
Pr Nd Y
1 1 6
Direct
0.0000 0.0000 0.0000
0.5000 0.5000 0.5000
0.9575 0.4575 0.8354
0.7495 0.9570 0.7505
0.4571 0.2504 0.3354
0.2505 0.0430 0.2495
0.0425 0.5425 0.1646
0.5429 0.7496 0.6646
```

Summary:
total magnetic moment	0.00	μB per cell
DOS at the Fermi energy	1.85	states/eV per atom
ΔE_f	0.14	eV per atom
energy above the most stable polymorph in this dataset	0	meV per atom
symmetry	No. 148

---

VASP calculation (PBE) on a geometry-optimized Pr5NdY3 structure.

Geometry as POSCAR:
```
Pr5NdY3
1.0
-8.1633 1.7710 -0.3281
-0.8680 -0.9002 8.2656
-2.0710 10.3467 4.9742
Pr Nd Y
10 2 6
Direct
0.9536 0.4383 0.3573
0.2667 0.7333 0.0000
0.6867 0.6867 0.0783
0.4934 0.4934 0.3734
0.5066 0.5066 0.6266
0.3133 0.3133 0.9217
0.4383 0.9536 0.3573
0.7333 0.2667 0.0000
0.0464 0.5617 0.6427
0.5617 0.0464 0.6427
0.9128 0.9128 0.7939
0.0872 0.0872 0.2061
0.6518 0.6518 0.7888
0.7923 0.7923 0.3655
0.0000 0.0000 0.0000
0.0000 0.0000 0.5000
0.3482 0.3482 0.2112
0.2077 0.2077 0.6345
```

Summary:
total magnetic moment	0.00	μB per cell
DOS at the Fermi energy	1.51	states/eV per atom
ΔE_f	0.54	eV per atom
energy above the most stable polymorph in this dataset	285	meV per atom
symmetry	No. 12

---

VASP calculation (PBE) on a geometry-optimized Pr5Nd4Y structure.

Geometry as POSCAR:
```
Pr5Nd4Y
1.0
-4.8848 1.5620 3.0913
-6.1584 -2.0019 -8.7199
-1.2410 -10.2910 3.2390
Pr Nd Y
10 8 2
Direct
0.1639 0.8388 0.8388
0.1639 0.1612 0.8388
0.9999 0.5000 0.0000
0.1639 0.8388 0.1612
0.1639 0.1612 0.1612
0.8361 0.6612 0.3388
0.8361 0.3388 0.3388
0.0001 0.0000 0.5000
0.8361 0.3388 0.6612
0.8361 0.6612 0.6612
0.6309 0.0000 0.7029
0.6309 0.7030 0.0000
0.6309 0.2970 0.0000
0.6309 0.0000 0.2971
0.3691 0.5000 0.2029
0.3691 0.7970 0.5000
0.3691 0.2030 0.5000
0.3691 0.5000 0.7971
0.6550 0.0000 0.0000
0.3450 0.5000 0.5000
```

Summary:
total magnetic moment	0.00	μB per cell
DOS at the Fermi energy	1.33	states/eV per atom
ΔE_f	0.17	eV per atom
energy above the most stable polymorph in this dataset	156	meV per atom
symmetry	No. 129

---

VASP calculation (PBE) on a geometry-optimized Pr6Nd3Y2 structure.

Geometry as POSCAR:
```
Pr6Nd3Y2
1.0
-1.5511 -3.1158 1.2001
1.8312 -2.1920 2.3230
-12.8757 14.5581 26.8039
Pr Nd Y
6 3 2
Direct
0.9084 0.9084 0.2749
0.0916 0.0916 0.7251
0.8178 0.8178 0.5465
0.1822 0.1822 0.4535
0.6361 0.6361 0.0917
0.3639 0.3639 0.9083
0.0000 0.0000 0.0000
0.7277 0.7277 0.8169
0.2723 0.2723 0.1831
0.5453 0.5453 0.3640
0.4547 0.4547 0.6360
```

Summary:
total magnetic moment	0.00	μB per cell
DOS at the Fermi energy	1.39	states/eV per atom
ΔE_f	0.01	eV per atom
energy above the most stable polymorph in this dataset	0	meV per atom
symmetry	No. 166

---

VASP calculation (PBE) on a geometry-optimized Pr2Nd5Y3 structure.

Geometry as POSCAR:
```
Pr2Nd5Y3
1.0
6.5651 0.0000 0.0000
3.2825 10.3542 -2.6430
3.2825 -1.0143 10.6380
Pr Nd Y
4 10 6
Direct
0.0857 0.7449 0.0836
0.5857 0.0836 0.7449
0.9143 0.2551 0.9164
0.4143 0.9164 0.2551
0.2404 0.4273 0.0919
0.7404 0.0919 0.4273
0.7596 0.5727 0.9081
0.2596 0.9081 0.5727
0.4982 0.7518 0.7518
0.5018 0.2482 0.2482
0.7500 0.5000 0.5000
0.2500 0.5000 0.5000
0.0018 0.2482 0.2482
0.9982 0.7518 0.7518
0.4071 0.4250 0.7608
0.9071 0.7608 0.4250
0.5929 0.5750 0.2392
0.0929 0.2392 0.5750
0.2500 0.0000 0.0000
0.7500 0.0000 0.0000
```

Summary:
total magnetic moment	0.00	μB per cell
DOS at the Fermi energy	1.57	states/eV per atom
ΔE_f	0.26	eV per atom
energy above the most stable polymorph in this dataset	84	meV per atom
symmetry	No. 72

---

VASP calculation (PBE) on a geometry-optimized Pr3NdY7 structure.

Geometry as POSCAR:
```
Pr3NdY7
1.0
8.7884 0.0000 0.0005
0.0000 7.1623 0.0000
0.0012 -3.5812 6.2023
Pr Nd Y
3 1 7
Direct
0.7839 0.5002 0.4998
0.7839 0.5002 0.0004
0.7839 0.9997 0.4998
0.4453 0.3333 0.6667
0.1198 0.1672 0.8329
0.1199 0.1672 0.3345
0.1217 0.6667 0.3333
0.4457 0.8326 0.1673
0.4457 0.3346 0.1673
0.4456 0.8326 0.6652
0.1198 0.6657 0.8329
```

Summary:
total magnetic moment	0.00	μB per cell
DOS at the Fermi energy	1.61	states/eV per atom
ΔE_f	0.18	eV per atom
energy above the most stable polymorph in this dataset	37	meV per atom
symmetry	No. 156

---

VASP calculation (PBE) on a geometry-optimized Pr5Nd2Y12 structure.

Geometry as POSCAR:
```
Pr5Nd2Y12
1.0
7.2230 -0.0001 0.0000
-3.6116 10.0992 -10.5259
0.0000 -6.1551 15.3021
Pr Nd Y
5 2 12
Direct
0.2494 0.4989 0.4987
0.4986 0.9971 0.4023
0.0000 0.0000 0.5000
0.5014 0.0029 0.5977
0.7506 0.5011 0.5013
0.7497 0.0000 0.0000
0.2503 0.0000 0.0000
0.9586 0.9171 0.1094
0.0184 0.5594 0.9504
0.5410 0.5594 0.9504
0.0488 0.6073 0.3940
0.5585 0.6073 0.3940
0.5410 0.0820 0.8851
0.4590 0.9180 0.1149
0.9512 0.3927 0.6060
0.4415 0.3927 0.6060
0.9816 0.4406 0.0496
0.4590 0.4406 0.0496
0.0414 0.0829 0.8906
```

Summary:
total magnetic moment	0.00	μB per cell
DOS at the Fermi energy	1.52	states/eV per atom
ΔE_f	0.11	eV per atom
energy above the most stable polymorph in this dataset	0	meV per atom
symmetry	No. 12

---

VASP calculation (PBE) on a geometry-optimized PrNd3Y7 structure.

Geometry as POSCAR:
```
PrNd3Y7
1.0
-3.0503 -7.7415 2.7629
4.0691 0.4895 5.8640
-6.6522 2.6326 0.0321
Pr Nd Y
1 3 7
Direct
0.4467 0.3333 0.6667
0.7842 0.5003 0.4997
0.7842 0.5003 0.0006
0.7842 0.9994 0.4997
0.1188 0.1671 0.8329
0.1188 0.1671 0.3343
0.1206 0.6667 0.3333
0.4463 0.8325 0.1675
0.4463 0.3349 0.1675
0.4463 0.8325 0.6651
0.1188 0.6657 0.8329
```

Summary:
total magnetic moment	0.00	μB per cell
DOS at the Fermi energy	1.61	states/eV per atom
ΔE_f	0.18	eV per atom
energy above the most stable polymorph in this dataset	43	meV per atom
symmetry	No. 156

---

VASP calculation (PBE) on a geometry-optimized PrNd12Y2 structure.

Geometry as POSCAR:
```
PrNd12Y2
1.0
6.6944 1.5734 0.0000
1.5734 6.6944 0.0000
0.0000 0.0000 25.1262
Pr Nd Y
2 24 4
Direct
0.5000 0.0000 0.0016
0.0000 0.5000 0.9984
0.5000 0.5000 0.8002
0.0000 0.0000 0.8002
0.7524 0.7476 0.8682
0.2534 0.7534 0.9245
0.0000 0.0000 0.3253
0.2466 0.7466 0.0755
0.7741 0.2741 0.5600
0.5000 0.5000 0.3253
0.2476 0.2524 0.8682
0.7476 0.7524 0.1318
0.2696 0.2304 0.5848
0.7259 0.2259 0.4400
0.0000 0.0000 0.6747
0.2304 0.2696 0.4152
0.2524 0.2476 0.1318
0.7696 0.7304 0.4152
0.7304 0.7696 0.5848
0.0000 0.0000 0.1998
0.2259 0.7259 0.5600
0.5000 0.5000 0.6747
0.7466 0.2466 0.9245
0.5000 0.5000 0.1998
0.2741 0.7741 0.4400
0.7534 0.2534 0.0755
0.5000 0.0000 0.2719
0.0000 0.5000 0.2676
0.0000 0.5000 0.7281
0.5000 0.0000 0.7324
```

Summary:
total magnetic moment	0.00	μB per cell
DOS at the Fermi energy	1.44	states/eV per atom
ΔE_f	0.15	eV per atom
symmetry	No. 67

---

VASP calculation (PBE) on a geometry-optimized PrNd2Y4 structure.

Geometry as POSCAR:
```
PrNd2Y4
1.0
3.5660 0.2607 -0.3265
-0.9062 8.2264 -3.3035
-0.9316 -1.2552 8.5575
Pr Nd Y
1 2 4
Direct
0.0000 0.0000 0.0000
0.0682 0.4279 0.1376
0.9318 0.5721 0.8624
0.2932 0.7066 0.5857
0.3541 0.1567 0.7075
0.7068 0.2934 0.4143
0.6459 0.8433 0.2925
```

Summary:
total magnetic moment	0.00	μB per cell
DOS at the Fermi energy	1.46	states/eV per atom
ΔE_f	0.03	eV per atom
energy above the most stable polymorph in this dataset	0	meV per atom
symmetry	No. 12

---

VASP calculation (PBE) on a geometry-optimized Pr6Nd3Y structure.

Geometry as POSCAR:
```
Pr6Nd3Y
1.0
-0.2946 -6.1027 2.5242
11.0496 -1.2157 -1.6498
-3.9883 4.1796 9.6394
Pr Nd Y
12 6 2
Direct
0.0588 0.7135 0.6298
0.5588 0.6298 0.7135
0.3646 0.5208 0.9392
0.8646 0.9392 0.5208
0.3568 0.9685 0.0315
0.6558 0.2791 0.7209
0.1558 0.7209 0.2791
0.8568 0.0315 0.9685
0.3646 0.0608 0.4792
0.8646 0.4792 0.0608
0.0588 0.3702 0.2865
0.5588 0.2865 0.3702
0.4669 0.9426 0.7081
0.9669 0.7081 0.9426
0.0841 0.3845 0.6155
0.5841 0.6155 0.3845
0.9669 0.0574 0.2919
0.4669 0.2919 0.0574
0.1080 0.1877 0.8123
0.6080 0.8123 0.1877
```

Summary:
total magnetic moment	0.00	μB per cell
DOS at the Fermi energy	1.34	states/eV per atom
ΔE_f	0.13	eV per atom
energy above the most stable polymorph in this dataset	0	meV per atom
symmetry	No. 36

---

VASP calculation (PBE) on a geometry-optimized Pr3Nd2Y6 structure.

Geometry as POSCAR:
```
Pr3Nd2Y6
1.0
3.6369 0.0000 0.0000
1.8184 3.1496 0.0000
1.8184 1.0499 32.3210
Pr Nd Y
3 2 6
Direct
0.0000 0.0000 0.0000
0.2726 0.2726 0.1823
0.7274 0.7274 0.8177
0.4548 0.4548 0.6357
0.5452 0.5452 0.3643
0.0911 0.0911 0.7266
0.9089 0.9089 0.2734
0.1815 0.1815 0.4554
0.8185 0.8185 0.5446
0.3637 0.3637 0.9089
0.6363 0.6363 0.0911
```

Summary:
total magnetic moment	0.00	μB per cell
DOS at the Fermi energy	1.16	states/eV per atom
ΔE_f	0.01	eV per atom
energy above the most stable polymorph in this dataset	0	meV per atom
symmetry	No. 166

---

VASP calculation (PBE) on a geometry-optimized Pr12Nd3Y structure.

Geometry as POSCAR:
```
Pr12Nd3Y
1.0
-4.3352 2.6974 1.1572
-2.7673 -3.0680 -3.2153
-3.9069 -13.0731 15.8367
Pr Nd Y
12 3 1
Direct
0.5000 0.5000 0.0000
0.5000 0.5000 0.2487
0.5000 0.5000 0.5000
0.5000 0.5000 0.7513
0.5000 0.0000 0.1238
0.5000 0.0000 0.3745
0.5000 0.0000 0.6255
0.5000 0.0000 0.8762
0.0000 0.5000 0.1238
0.0000 0.5000 0.3745
0.0000 0.5000 0.6255
0.0000 0.5000 0.8762
0.0000 0.0000 0.2488
0.0000 0.0000 0.5000
0.0000 0.0000 0.7512
0.0000 0.0000 0.0000
```

Summary:
total magnetic moment	0.00	μB per cell
DOS at the Fermi energy	1.59	states/eV per atom
ΔE_f	0.01	eV per atom
symmetry	No. 123

---

VASP calculation (PBE) on a geometry-optimized Pr3Nd3Y4 structure.

Geometry as POSCAR:
```
Pr3Nd3Y4
1.0
-0.4417 -3.6253 0.4550
3.7644 -1.5734 -8.8815
8.9423 -0.6003 3.8991
Pr Nd Y
3 3 4
Direct
0.5000 0.8249 0.1751
0.5000 0.3246 0.3248
0.5000 0.6752 0.6754
0.0000 0.4992 0.9996
0.0000 0.0004 0.5008
0.5000 0.1751 0.8249
0.0000 0.6224 0.3776
0.0000 0.3771 0.6229
0.0000 0.8782 0.8772
0.0000 0.1228 0.1218
```

Summary:
total magnetic moment	0.47	μB per cell
DOS at the Fermi energy	0.99	states/eV per atom
ΔE_f	0.10	eV per atom
symmetry	No. 38

---

VASP calculation (PBE) on a geometry-optimized PrNd2Y4 structure.

Geometry as POSCAR:
```
PrNd2Y4
1.0
-0.4065 4.0427 -3.8599
2.2796 -3.4137 -3.8154
-8.7654 -3.1475 1.6950
Pr Nd Y
1 2 4
Direct
0.0000 0.0000 0.0000
0.3783 0.3783 0.7565
0.6217 0.6217 0.2435
0.8232 0.8232 0.6465
0.1768 0.1768 0.3535
0.0000 0.5000 0.0000
0.5000 0.0000 0.0000
```

Summary:
total magnetic moment	0.00	μB per cell
DOS at the Fermi energy	1.51	states/eV per atom
ΔE_f	0.64	eV per atom
energy above the most stable polymorph in this dataset	604	meV per atom
symmetry	No. 139